Computed, not measured: a relaxed Ca2Cu5AgPd2 crystal at the PBE level of DFT.

Cell and atoms, written as POSCAR:
```
Ca2Cu5AgPd2
1.0
9.2964 0.0000 0.0000
0.0000 9.2964 0.0000
0.0000 0.0000 3.9722
Ca Cu Ag Pd
4 10 2 4
Cartesian
1.6318 3.0164 0.0000
3.0164 7.6646 0.0000
6.2800 1.6318 0.0000
7.6646 6.2800 0.0000
0.0000 4.6482 1.9861
0.5472 7.4418 1.9861
1.8547 0.5472 1.9861
2.7935 5.1954 1.9861
4.1011 2.7935 1.9861
4.6482 0.0000 1.9861
5.1954 6.5029 1.9861
6.5029 4.1011 1.9861
7.4418 8.7493 1.9861
8.7493 1.8547 1.9861
0.0000 0.0000 0.0000
4.6482 4.6482 0.0000
1.1423 5.7906 0.0000
3.5059 1.1423 0.0000
5.7906 8.1541 0.0000
8.1541 3.5059 0.0000
```

Calculated values
E   -79.140 eV per cell
Calculated volume   343 Å³ per cell
Formation energy from the elements   -184.9 meV/atom

***

Computed, not measured: a relaxed Ac2Be4ZnSi3 crystal at the PBE level of DFT.

Cell and atoms, written as POSCAR:
```
Ac2Be4ZnSi3
1.0
4.1697 0.0000 0.0000
0.0000 4.1697 0.0000
0.0000 0.0000 9.8670
Ac Be Zn Si
2 4 1 3
Cartesian
0.0000 2.0848 2.4088
2.0848 0.0000 7.4582
0.0000 0.0000 0.0000
0.0000 2.0848 6.2090
2.0848 0.0000 3.6580
2.0848 2.0848 0.0000
0.0000 0.0000 4.9335
0.0000 2.0848 8.6475
2.0848 0.0000 1.2195
2.0848 2.0848 4.9335
```

Calculated values
E   -43.391 eV per cell
Calculated volume   172 Å³ per cell
ΔE_f (raw)   -0.27 eV/atom

***

Computed, not measured: a relaxed LiYMo crystal at the PBE level of DFT.

Cell and atoms, written as POSCAR:
```
LiYMo
1.0
4.9458 0.0000 0.0000
-2.4729 4.2832 0.0000
0.0000 0.0000 2.7800
Li Y Mo
1 1 1
Cartesian
0.0000 0.0000 0.0000
0.0000 2.8554 1.3536
2.4729 1.4277 2.7347
```

Calculated values
Energy above the lowest structure with this stoichiometry   0.00 eV per formula unit
E   -17.705 eV per cell
Calculated volume   59 Å³ per cell
Formation energy from the elements   501.4 meV/atom

***

> Which formula does entry 3 have?

LiYMo

***

Repeat the second record exactly.
Computed, not measured: a relaxed Ac2Be4ZnSi3 crystal at the PBE level of DFT.

Cell and atoms, written as POSCAR:
```
Ac2Be4ZnSi3
1.0
4.1697 0.0000 0.0000
0.0000 4.1697 0.0000
0.0000 0.0000 9.8670
Ac Be Zn Si
2 4 1 3
Cartesian
0.0000 2.0848 2.4088
2.0848 0.0000 7.4582
0.0000 0.0000 0.0000
0.0000 2.0848 6.2090
2.0848 0.0000 3.6580
2.0848 2.0848 0.0000
0.0000 0.0000 4.9335
0.0000 2.0848 8.6475
2.0848 0.0000 1.2195
2.0848 2.0848 4.9335
```

Calculated values
E   -43.391 eV per cell
Calculated volume   172 Å³ per cell
ΔE_f (raw)   -0.27 eV/atom

***

> E of number 3 (LiYMo)?

-17.705 eV per cell

***

Please write out number 3 again, unchanged.
Computed, not measured: a relaxed LiYMo crystal at the PBE level of DFT.

Cell and atoms, written as POSCAR:
```
LiYMo
1.0
4.9458 0.0000 0.0000
-2.4729 4.2832 0.0000
0.0000 0.0000 2.7800
Li Y Mo
1 1 1
Cartesian
0.0000 0.0000 0.0000
0.0000 2.8554 1.3536
2.4729 1.4277 2.7347
```

Calculated values
Energy above the lowest structure with this stoichiometry   0.00 eV per formula unit
E   -17.705 eV per cell
Calculated volume   59 Å³ per cell
Formation energy from the elements   501.4 meV/atom